No. 1
This record from Alexandria describes a relaxed structure of Mo2PdN. The functional is PBE-GGA. Values from VASP.

Calculated values
- Total moment: 0.0000 μB per atom
- DOS(E_F): 17.60 states/eV per cell
- Final energy: -8.38 eV/atom
- Formation energy from raw total energies: 0.41 eV/atom

Structure (Quantum ESPRESSO input):
```
&SYSTEM
  ibrav = 0, nat = 16, ntyp = 3
/
ATOMIC_SPECIES
Mo 95.94 Mo.upf
Pd 106.42 Pd.upf
N 14.01 N.upf
CELL_PARAMETERS angstrom
4.8173 0.0000 0.0000
0.0000 4.8173 0.0000
0.0000 0.0000 11.4394
ATOMIC_POSITIONS angstrom
Mo 0.6767 1.2043 1.4299
Mo 1.2043 3.0854 4.2898
Mo 1.2043 4.1406 10.0095
Mo 1.7320 1.2043 7.1497
Mo 3.0854 3.6130 7.1497
Mo 3.6130 0.6767 10.0095
Mo 3.6130 1.7320 4.2898
Mo 4.1406 3.6130 1.4299
Pd 0.0000 0.0000 5.7197
Pd 0.0000 2.4087 8.5796
Pd 2.4087 0.0000 2.8599
Pd 2.4087 2.4087 0.0000
N 0.0000 0.0000 0.0000
N 0.0000 2.4087 2.8599
N 2.4087 0.0000 8.5796
N 2.4087 2.4087 5.7197
```

=====

No. 2
This record from Alexandria describes a relaxed structure of Mo3PdN. The functional is PBE-GGA. Values from VASP.

Calculated values
- E above lowest polymorph: 3.215 eV/atom
- Total moment: 0.0027 μB per atom
- DOS(E_F): 5.23 states/eV per cell
- Final energy: -6.14 eV/atom
- Formation energy from raw total energies: 3.06 eV/atom

Structure (Quantum ESPRESSO input):
```
&SYSTEM
  ibrav = 0, nat = 5, ntyp = 3
/
ATOMIC_SPECIES
Mo 95.94 Mo.upf
Pd 106.42 Pd.upf
N 14.01 N.upf
CELL_PARAMETERS angstrom
4.7099 0.0000 0.0000
0.0000 4.7099 0.0000
0.0000 0.0000 4.7099
ATOMIC_POSITIONS angstrom
Mo 0.0000 0.0000 2.3549
Mo 0.0000 2.3549 0.0000
Mo 2.3549 0.0000 0.0000
Pd 0.0000 0.0000 0.0000
N 2.3549 2.3549 2.3549
```

=====

DOS(E_F) of number 2 (Mo3PdN)?
5.23 states/eV per cell

=====

What is the total moment in the first record?
0.0000 μB per atom